[1]
## BaLiNpO3 (PBE)

Data for BaLiNpO3 after structural relaxation.

Lattice parameters (Å, degrees): 6.0212 6.0212 6.5351 90.00 90.00 120.00
Atoms (fractional coordinates):
Ba 0.3333 0.6667 0.2500
Ba 0.6667 0.3333 0.7500
Li 0.3333 0.6667 0.7500
Li 0.6667 0.3333 0.2500
Np 0.0000 0.0000 0.0000
Np 0.0000 0.0000 0.5000
O 0.1571 0.3141 0.7500
O 0.1571 0.8429 0.7500
O 0.3141 0.1571 0.2500
O 0.6859 0.8429 0.7500
O 0.8429 0.1571 0.2500
O 0.8429 0.6859 0.2500

=====

[2]
## Ba3Li2NpS6 (PBE)

Data for Ba3Li2NpS6 after structural relaxation.

Lattice parameters (Å, degrees): 7.3388 7.3388 7.9638 90.00 90.00 120.00
Atoms (fractional coordinates):
Ba 0.0000 0.0000 0.0000
Ba 0.3333 0.6667 0.6035
Ba 0.6667 0.3333 0.3965
Li 0.3333 0.6667 0.1853
Li 0.6667 0.3333 0.8147
Np 0.0000 0.0000 0.5000
S 0.1667 0.3334 0.2966
S 0.1667 0.8333 0.2966
S 0.3334 0.1667 0.7034
S 0.6666 0.8333 0.2966
S 0.8333 0.1667 0.7034
S 0.8333 0.6666 0.7034

=====

Energy relative to the elements, uncorrected, respectively: -2294 -1546 meV/atom.